## LiZn2Sb (PBE-GGA)

Data for a geometry-optimized LiZn2Sb structure.

Lattice parameters (Å, degrees): 3.094 5.240 4.767 90.00 97.21 90.00
Element x y z (fractional)
Li1 0.000 0.000 0.000
Zn1 0.304 0.500 0.231
Zn2 0.696 0.500 0.769
Sb1 0.500 0.000 0.500

Summary:
V	19.17	Å³/atom
electronic total energy	-9.00	eV per cell
magnetic moment	0.0	μB/cell
space-group type	P2/m, No. 10

## DyCdRhPb (PBE-GGA)

Data for a geometry-optimized DyCdRhPb structure.

Lattice parameters (Å, degrees): 7.056 7.056 7.056 90.00 90.00 90.00
Element x y z (fractional)
Dy1 0.000 0.000 0.000
Dy2 0.000 0.500 0.500
Dy3 0.500 0.000 0.500
Dy4 0.500 0.500 0.000
Cd1 0.250 0.250 0.750
Cd2 0.250 0.750 0.250
Cd3 0.750 0.250 0.250
Cd4 0.750 0.750 0.750
Rh1 0.250 0.250 0.250
Rh2 0.250 0.750 0.750
Rh3 0.750 0.250 0.750
Rh4 0.750 0.750 0.250
Pb1 0.000 0.000 0.500
Pb2 0.000 0.500 0.000
Pb3 0.500 0.000 0.000
Pb4 0.500 0.500 0.500

Summary:
V	21.96	Å³/atom
electronic total energy	-70.77	eV per cell
magnetic moment	0.0	μB/cell
space-group type	F-43m, No. 216
ΔE_f	-279	meV per atom

## AcSmTlI (PBE-GGA)

Data for a geometry-optimized AcSmTlI structure.

Lattice parameters (Å, degrees): 8.075 8.075 8.075 90.00 90.00 90.00
Element x y z (fractional)
Ac1 0.000 0.000 0.000
Ac2 0.000 0.500 0.500
Ac3 0.500 0.000 0.500
Ac4 0.500 0.500 0.000
Sm1 0.000 0.000 0.500
Sm2 0.000 0.500 0.000
Sm3 0.500 0.000 0.000
Sm4 0.500 0.500 0.500
Tl1 0.250 0.250 0.250
Tl2 0.250 0.750 0.750
Tl3 0.750 0.250 0.750
Tl4 0.750 0.750 0.250
I1 0.250 0.250 0.750
I2 0.250 0.750 0.250
I3 0.750 0.250 0.250
I4 0.750 0.750 0.750

Summary:
V	32.91	Å³/atom
electronic total energy	-59.13	eV per cell
magnetic moment	0.0	μB/cell
space-group type	F-43m, No. 216

## SmGaAg4 (PBE-GGA)

Data for a geometry-optimized SmGaAg4 structure.

Lattice parameters (Å, degrees): 5.577 5.577 5.577 60.00 60.00 60.00
Element x y z (fractional)
Sm1 0.000 0.000 0.000
Ga1 0.250 0.250 0.250
Ag1 0.126 0.625 0.625
Ag2 0.625 0.126 0.625
Ag3 0.625 0.625 0.126
Ag4 0.625 0.625 0.625

Summary:
V	20.44	Å³/atom
electronic total energy	-20.14	eV per cell
magnetic moment	0.0	μB/cell
space-group type	F-43m, No. 216
ΔE_f	-165	meV per atom
excess energy over the best structure of this formula in the dataset	0	meV per atom

## SrCd3Pd (PBE-GGA)

Data for a geometry-optimized SrCd3Pd structure.

Lattice parameters (Å, degrees): 6.149 6.149 6.149 90.00 90.00 90.00
Element x y z (fractional)
Sr1 0.000 0.000 0.000
Cd1 0.000 0.000 0.500
Cd2 0.000 0.500 0.000
Cd3 0.500 0.000 0.000
Pd1 0.500 0.500 0.500

Summary:
V	46.50	Å³/atom
electronic total energy	-4.77	eV per cell
magnetic moment	0.0	μB/cell
space-group type	Pm-3m, No. 221
ΔE_f	970	meV per atom
excess energy over the best structure of this formula in the dataset	1342	meV per atom

## ZrTlSiHg2 (PBE-GGA)

Data for a geometry-optimized ZrTlSiHg2 structure.

Lattice parameters (Å, degrees): 5.430 5.430 5.010 90.00 90.00 90.00
Element x y z (fractional)
Zr1 0.000 0.000 0.000
Tl1 0.500 0.500 0.500
Si1 0.500 0.500 0.000
Hg1 0.000 0.500 0.500
Hg2 0.500 0.000 0.500

Summary:
V	29.55	Å³/atom
electronic total energy	-11.22	eV per cell
magnetic moment	0.0	μB/cell
space-group type	P4/mmm, No. 123